Entry 1:
A geometry-optimized SmTm2Te5 structure. Source: Alexandria, functional PBE.

Formation energy without anion corrections   -1.153 eV per atom
Space group   I4/mcm
Crystal system   tetragonal

a b c (Å): 9.1441 9.1441 9.1441
angles (deg): 127.51 127.51 77.42
Positions (direct):
Sm 0.2500 0.2500 0.0000
Sm 0.7500 0.7500 0.0000
Tm 0.1505 0.6505 0.8010
Tm 0.3495 0.1505 0.5000
Tm 0.6505 0.8495 0.5000
Tm 0.8495 0.3495 0.1990
Te 0.0000 0.0000 0.0000
Te 0.0121 0.1940 0.5000
Te 0.1940 0.6940 0.1819
Te 0.3060 0.4879 0.5000
Te 0.4879 0.9879 0.1819
Te 0.5000 0.5000 0.0000
Te 0.5121 0.0121 0.8181
Te 0.6940 0.5121 0.5000
Te 0.8060 0.3060 0.8181
Te 0.9879 0.8060 0.5000

Entry 2:
A geometry-optimized Sm2Tm3Te8 structure. Source: Alexandria, functional PBE.

Formation energy without anion corrections   -1.259 eV per atom
Space group   C2/m
Crystal system   monoclinic

a b c (Å): 8.8270 8.8270 7.4955
angles (deg): 106.06 106.06 58.94
Positions (direct):
Sm 0.2485 0.2485 0.1698
Sm 0.7515 0.7515 0.8302
Tm 0.2431 0.7569 0.5000
Tm 0.5000 0.5000 0.0000
Tm 0.7569 0.2431 0.5000
Te 0.1175 0.1175 0.4101
Te 0.1343 0.6294 0.0895
Te 0.3706 0.8657 0.9105
Te 0.3824 0.3824 0.5881
Te 0.6176 0.6176 0.4119
Te 0.6294 0.1343 0.0895
Te 0.8657 0.3706 0.9105
Te 0.8825 0.8825 0.5899

Entry 3:
A geometry-optimized Sm3TmTe6 structure. Source: Alexandria, functional PBE.

Formation energy without anion corrections   -1.372 eV per atom
Space group   P2_1/c
Crystal system   monoclinic

a b c (Å): 7.3907 8.1928 13.3263
angles (deg): 90.00 122.69 90.00
Positions (direct):
Sm 0.0000 0.0000 0.0000
Sm 0.0000 0.5000 0.5000
Sm 0.3059 0.1200 0.7539
Sm 0.3059 0.3800 0.2539
Sm 0.6941 0.6200 0.7461
Sm 0.6941 0.8800 0.2461
Tm 0.5000 0.0000 0.5000
Tm 0.5000 0.5000 0.0000
Te 0.0908 0.0517 0.2554
Te 0.0908 0.4483 0.7554
Te 0.2459 0.6727 0.0805
Te 0.2459 0.8273 0.5805
Te 0.4203 0.1788 0.0782
Te 0.4203 0.3212 0.5782
Te 0.5797 0.6788 0.4218
Te 0.5797 0.8212 0.9218
Te 0.7541 0.1727 0.4195
Te 0.7541 0.3273 0.9195
Te 0.9092 0.5517 0.2446
Te 0.9092 0.9483 0.7446

Entry 4:
A geometry-optimized SmTm5Te6 structure. Source: Alexandria, functional PBE.

Formation energy without anion corrections   -1.206 eV per atom
Space group   C2/m
Crystal system   monoclinic

a b c (Å): 7.4875 7.4875 7.4652
angles (deg): 99.52 99.52 119.71
Positions (direct):
Sm 0.0000 0.0000 0.0000
Tm 0.1544 0.8456 0.5000
Tm 0.3332 0.6668 0.0000
Tm 0.5000 0.5000 0.5000
Tm 0.6668 0.3332 0.0000
Tm 0.8456 0.1544 0.5000
Te 0.0856 0.4302 0.2583
Te 0.2621 0.2621 0.7536
Te 0.4302 0.0856 0.2583
Te 0.5698 0.9144 0.7417
Te 0.7379 0.7379 0.2464
Te 0.9144 0.5698 0.7417

Q: formation energy without anion corrections of number 3 (Sm3TmTe6)?
A: -1.372 eV per atom

Copy entry 4 word for word.
A geometry-optimized SmTm5Te6 structure. Source: Alexandria, functional PBE.

Formation energy without anion corrections   -1.206 eV per atom
Space group   C2/m
Crystal system   monoclinic

a b c (Å): 7.4875 7.4875 7.4652
angles (deg): 99.52 99.52 119.71
Positions (direct):
Sm 0.0000 0.0000 0.0000
Tm 0.1544 0.8456 0.5000
Tm 0.3332 0.6668 0.0000
Tm 0.5000 0.5000 0.5000
Tm 0.6668 0.3332 0.0000
Tm 0.8456 0.1544 0.5000
Te 0.0856 0.4302 0.2583
Te 0.2621 0.2621 0.7536
Te 0.4302 0.0856 0.2583
Te 0.5698 0.9144 0.7417
Te 0.7379 0.7379 0.2464
Te 0.9144 0.5698 0.7417